Compound: CdNi2
Source: Alexandria via LeMat-Bulk
Functional: PBE-GGA
Structure: relaxed

density of states at the Fermi level	4.99	states/eV/f.u.
formation energy	0.67	eV/atom
total energy	-3.490	eV/atom

```
data_CdNi2
_chemical_formula_sum 'Cd4 Ni8'
_symmetry_space_group_name_H-M 'F m -3 m'
_symmetry_Int_Tables_number 225
_symmetry_space_group_name_Hall '-F 4 2 3'
_cell_length_a 5.872
_cell_length_b 5.872
_cell_length_c 5.872
_cell_angle_alpha 90.00
_cell_angle_beta 90.00
_cell_angle_gamma 90.00
loop_
_atom_site_label
_atom_site_type_symbol
_atom_site_fract_x
_atom_site_fract_y
_atom_site_fract_z
Cd1 Cd 0.000 0.000 0.000
Ni1 Ni 0.250 0.250 0.250
```

Compound: Cd5Ni
Source: Alexandria via LeMat-Bulk
Functional: PBE-GGA
Structure: relaxed

density of states at the Fermi level	3.62	states/eV/f.u.
formation energy	0.01	eV/atom
E above lowest polymorph	0.0000	eV per atom
total energy	-1.712	eV/atom

```
data_Cd5Ni
_chemical_formula_sum 'Cd20 Ni4'
_symmetry_space_group_name_H-M 'I 4/m c m'
_symmetry_Int_Tables_number 140
_symmetry_space_group_name_Hall '-I 4 2c'
_cell_length_a 6.749
_cell_length_b 6.749
_cell_length_c 11.011
_cell_angle_alpha 90.00
_cell_angle_beta 90.00
_cell_angle_gamma 90.00
loop_
_atom_site_label
_atom_site_type_symbol
_atom_site_fract_x
_atom_site_fract_y
_atom_site_fract_z
Cd1 Cd 0.000 0.000 0.000
Cd2 Cd 0.161 0.339 0.141
Ni1 Ni 0.000 0.000 0.250
```

Compound: CdNi2
Source: Alexandria via LeMat-Bulk
Functional: PBE-GGA
Structure: relaxed

density of states at the Fermi level	4.30	states/eV/f.u.
formation energy	0.13	eV/atom
total energy	-4.032	eV/atom

```
data_CdNi2
_chemical_formula_sum 'Cd8 Ni16'
_symmetry_space_group_name_H-M 'I 41/a m d'
_symmetry_Int_Tables_number 141
_cell_length_a 3.794
_cell_length_b 3.794
_cell_length_c 23.100
_cell_angle_alpha 90.00
_cell_angle_beta 90.00
_cell_angle_gamma 90.00
loop_
_symmetry_equiv_pos_as_xyz
'x,y,z'
'-x,-y,-z'
'-y+1/4,x+3/4,z+1/4'
'y+1/4,-x+3/4,-z+1/4'
'-x+1/2,-y,z+1/2'
'x+1/2,y,-z+1/2'
'y+1/4,-x+1/4,z+3/4'
'-y+1/4,x+1/4,-z+3/4'
'x,-y,-z'
'-x,y,z'
'-y+1/4,-x+1/4,-z+3/4'
'y+1/4,x+1/4,z+3/4'
'-x+1/2,y,-z+1/2'
'x+1/2,-y,z+1/2'
'y+1/4,x+3/4,-z+1/4'
'-y+1/4,-x+3/4,z+1/4'
'x+1/2,y+1/2,z+1/2'
'-x+1/2,-y+1/2,-z+1/2'
'-y+3/4,x+1/4,z+3/4'
'y+3/4,-x+1/4,-z+3/4'
'-x,-y+1/2,z'
'x,y+1/2,-z'
'y+3/4,-x+3/4,z+1/4'
'-y+3/4,x+3/4,-z+1/4'
'x+1/2,-y+1/2,-z+1/2'
'-x+1/2,y+1/2,z+1/2'
'-y+3/4,-x+3/4,-z+1/4'
'y+3/4,x+3/4,z+1/4'
'-x,y+1/2,-z'
'x,-y+1/2,z'
'y+3/4,x+1/4,-z+3/4'
'-y+3/4,-x+1/4,z+3/4'
loop_
_atom_site_label
_atom_site_type_symbol
_atom_site_fract_x
_atom_site_fract_y
_atom_site_fract_z
Cd1 Cd 0.000 0.250 0.295
Ni1 Ni 0.000 0.250 0.125
Ni2 Ni 0.000 0.250 0.799
```

Compound: Cd2Ni
Source: Alexandria via LeMat-Bulk
Functional: PBE-GGA
Structure: relaxed

density of states at the Fermi level	1.71	states/eV/f.u.
formation energy	0.13	eV/atom
total energy	-2.404	eV/atom

```
data_Cd2Ni
_chemical_formula_sum 'Cd8 Ni4'
_symmetry_space_group_name_H-M 'C m c m'
_symmetry_Int_Tables_number 63
_symmetry_space_group_name_Hall '-C 2c 2'
_cell_length_a 2.982
_cell_length_b 15.182
_cell_length_c 4.753
_cell_angle_alpha 90.00
_cell_angle_beta 90.00
_cell_angle_gamma 90.00
loop_
_atom_site_label
_atom_site_type_symbol
_atom_site_fract_x
_atom_site_fract_y
_atom_site_fract_z
Cd1 Cd 0.000 0.065 0.250
Cd2 Cd 0.000 0.364 0.250
Ni1 Ni 0.000 0.280 0.750
```

Compound: CdNi5
Source: Alexandria via LeMat-Bulk
Functional: PBE-GGA
Structure: relaxed

density of states at the Fermi level	11.44	states/eV/f.u.
formation energy	0.14	eV/atom
total energy	-4.832	eV/atom

```
data_CdNi5
_chemical_formula_sum 'Cd2 Ni10'
_symmetry_space_group_name_H-M 'C 1 m 1'
_symmetry_Int_Tables_number 8
_cell_length_a 9.580
_cell_length_b 2.659
_cell_length_c 6.099
_cell_angle_alpha 90.00
_cell_angle_beta 106.79
_cell_angle_gamma 90.00
loop_
_symmetry_equiv_pos_as_xyz
'x,y,z'
'x,-y,z'
'x+1/2,y+1/2,z'
'x+1/2,-y+1/2,z'
loop_
_atom_site_label
_atom_site_type_symbol
_atom_site_fract_x
_atom_site_fract_y
_atom_site_fract_z
Cd1 Cd 0.000 0.000 0.000
Ni1 Ni 0.038 0.000 0.574
Ni2 Ni 0.165 0.500 0.352
Ni3 Ni 0.216 0.500 0.907
Ni4 Ni 0.323 0.000 0.646
Ni5 Ni 0.360 0.000 0.263
```

Compound: Cd5Ni3
Source: Alexandria via LeMat-Bulk
Functional: PBE-GGA
Structure: relaxed

density of states at the Fermi level	6.26	states/eV/f.u.
formation energy	0.12	eV/atom
E above lowest polymorph	0.0394	eV per atom
total energy	-2.625	eV/atom

```
data_Cd5Ni3
_chemical_formula_sum 'Cd10 Ni6'
_symmetry_space_group_name_H-M 'P 63/m c m'
_symmetry_Int_Tables_number 193
_symmetry_space_group_name_Hall '-P 6c 2'
_cell_length_a 7.7319
_cell_length_b 7.7319
_cell_length_c 5.3843
_cell_angle_alpha 90.00
_cell_angle_beta 90.00
_cell_angle_gamma 120.00
loop_
_atom_site_label
_atom_site_type_symbol
_atom_site_fract_x
_atom_site_fract_y
_atom_site_fract_z
Cd1 Cd 0.0000 0.2444 0.2500
Cd2 Cd 0.3333 0.6667 0.0000
Ni1 Ni 0.0000 0.4001 0.7500
```